[1]
This record from Alexandria describes a relaxed Sr2Re2F crystal. The functional is PBE.

a = 8.9233 Å, b = 8.9233 Å, c = 3.3791 Å
α = 90.00°, β = 90.00°, γ = 90.00°
Last column: nearest neighbours and their distance in Å.
Sites, in units of the cell vectors:
Sr: 0.1965 0.3035 0.0000  6 Re 3.19-3.22, 2 F 3.23, 2 Sr 3.38
Sr: 0.3035 0.8035 0.0000  6 Re 3.19-3.22, 2 F 3.23, 2 Sr 3.38
Sr: 0.6965 0.1965 0.0000  6 Re 3.19-3.22, 2 F 3.23, 2 Sr 3.38
Sr: 0.8035 0.6965 0.0000  6 Re 3.19-3.22, 2 F 3.23, 2 Sr 3.38
Re: 0.0865 0.5865 0.5000  1 Re 2.18
Re: 0.4135 0.0865 0.5000  1 Re 2.18
Re: 0.5865 0.9135 0.5000  1 Re 2.18
Re: 0.9135 0.4135 0.5000  1 Re 2.18
F: 0.0000 0.0000 0.0000  4 Sr 3.23, 2 F 3.38
F: 0.5000 0.5000 0.0000  4 Sr 3.23, 2 F 3.38

Polymorph energy (0 for the lowest one), meV/atom: 926
Mass density, g/cm³: 6.99
M_tot, Bohr magnetons per cell: 0.2
Space group: No. 127
DOS at the Fermi energy, states/eV per cell: 13.51
Uncorrected formation energy, eV/f.u.: 2.13

[2]
This record from Alexandria describes a relaxed Sr3ReF crystal. The functional is PBE.

a = 5.1060 Å, b = 5.1060 Å, c = 5.1060 Å
α = 90.00°, β = 90.00°, γ = 90.00°
Last column: nearest neighbours and their distance in Å.
Sites, in units of the cell vectors:
Sr: 0.0000 0.0000 0.5000  2 F 2.55
Sr: 0.0000 0.5000 0.0000  2 F 2.55
Sr: 0.5000 0.0000 0.0000  2 F 2.55
Re: 0.5000 0.5000 0.5000  12 Sr 3.61
F: 0.0000 0.0000 0.0000  6 Sr 2.55

Polymorph energy (0 for the lowest one), meV/atom: 0
Mass density, g/cm³: 5.84
M_tot, Bohr magnetons per cell: 1.5
Space group: No. 221
DOS at the Fermi energy, states/eV per cell: 5.15
Uncorrected formation energy, eV/f.u.: -1.66

[3]
This record from Alexandria describes a relaxed Sr2ReF crystal. The functional is PBE.

a = 7.3028 Å, b = 7.3028 Å, c = 8.1138 Å
α = 90.00°, β = 90.00°, γ = 90.00°
Last column: nearest neighbours and their distance in Å.
Sites, in units of the cell vectors:
Sr: 0.1745 0.7500 0.1250  2 F 2.45
Sr: 0.2500 0.1745 0.8750  2 F 2.45
Sr: 0.2500 0.3255 0.3750  2 F 2.45
Sr: 0.3255 0.7500 0.6250  2 F 2.45
Sr: 0.6745 0.2500 0.6250  2 F 2.45
Sr: 0.7500 0.6745 0.3750  2 F 2.45
Sr: 0.7500 0.8255 0.8750  2 F 2.45
Sr: 0.8255 0.2500 0.1250  2 F 2.45
Re: 0.0000 0.0000 0.5000  4 Sr 3.16
Re: 0.0000 0.5000 0.7500  4 Sr 3.16
Re: 0.5000 0.0000 0.2500  4 Sr 3.16
Re: 0.5000 0.5000 0.0000  4 Sr 3.16
F: 0.0000 0.0000 0.0000  4 Sr 2.45
F: 0.0000 0.5000 0.2500  4 Sr 2.45
F: 0.5000 0.0000 0.7500  4 Sr 2.45
F: 0.5000 0.5000 0.5000  4 Sr 2.45

Polymorph energy (0 for the lowest one), meV/atom: 0
Mass density, g/cm³: 5.84
M_tot, Bohr magnetons per cell: 10.1
Space group: No. 122
DOS at the Fermi energy, states/eV per cell: 18.80
Uncorrected formation energy, eV/f.u.: -1.29

[4]
This record from Alexandria describes a relaxed SrRe3F crystal. The functional is PBE.

a = 4.4675 Å, b = 4.4675 Å, c = 4.4675 Å
α = 90.00°, β = 90.00°, γ = 90.00°
Last column: nearest neighbours and their distance in Å.
Sites, in units of the cell vectors:
Sr: 0.0000 0.0000 0.0000  12 Re 3.16
Re: 0.0000 0.5000 0.5000  2 F 2.23
Re: 0.5000 0.0000 0.5000  2 F 2.23
Re: 0.5000 0.5000 0.0000  2 F 2.23
F: 0.5000 0.5000 0.5000  6 Re 2.23

Polymorph energy (0 for the lowest one), meV/atom: 0
Mass density, g/cm³: 12.39
M_tot, Bohr magnetons per cell: 3.1
Space group: No. 221
DOS at the Fermi energy, states/eV per cell: 5.91
Uncorrected formation energy, eV/f.u.: 8.00

[5]
This record from Alexandria describes a relaxed SrReF2 crystal. The functional is PBE.

a = 2.9953 Å, b = 2.9953 Å, c = 23.2202 Å
α = 90.00°, β = 90.00°, γ = 120.00°
Last column: nearest neighbours and their distance in Å.
Sites, in units of the cell vectors:
Sr: 0.0000 0.0000 0.0000  6 F 2.46
Sr: 0.3333 0.6667 0.6667  6 F 2.46
Sr: 0.6667 0.3333 0.3333  6 F 2.46
Re: 0.0000 0.0000 0.5000  2 F 2.12
Re: 0.3333 0.6667 0.1667  2 F 2.12
Re: 0.6667 0.3333 0.8333  2 F 2.12
F: 0.0000 0.0000 0.4088  1 Re 2.12
F: 0.0000 0.0000 0.5912  1 Re 2.12
F: 0.3333 0.6667 0.0754  1 Re 2.12
F: 0.3333 0.6667 0.2579  1 Re 2.12
F: 0.6667 0.3333 0.7421  1 Re 2.12
F: 0.6667 0.3333 0.9246  1 Re 2.12

Polymorph energy (0 for the lowest one), meV/atom: 0
Mass density, g/cm³: 8.61
M_tot, Bohr magnetons per cell: 0.0
Space group: No. 166
DOS at the Fermi energy, states/eV per cell: 7.91
Uncorrected formation energy, eV/f.u.: -4.42

[6]
This record from Alexandria describes a relaxed SrReF2 crystal. The functional is PBE.

a = 6.6792 Å, b = 6.6792 Å, c = 6.6792 Å
α = 90.00°, β = 90.00°, γ = 90.00°
Last column: nearest neighbours and their distance in Å.
Sites, in units of the cell vectors:
Sr: 0.0000 0.0000 0.0000  8 F 2.89
Sr: 0.0000 0.5000 0.5000  8 F 2.89
Sr: 0.5000 0.0000 0.5000  8 F 2.89
Sr: 0.5000 0.5000 0.0000  8 F 2.89
Re: 0.0000 0.0000 0.5000  8 F 2.89
Re: 0.0000 0.5000 0.0000  8 F 2.89
Re: 0.5000 0.0000 0.0000  8 F 2.89
Re: 0.5000 0.5000 0.5000  8 F 2.89
F: 0.2500 0.2500 0.2500  4 Re 2.89, 4 Sr 2.89
F: 0.2500 0.2500 0.7500  4 Re 2.89, 4 Sr 2.89
F: 0.2500 0.7500 0.2500  4 Re 2.89, 4 Sr 2.89
F: 0.2500 0.7500 0.7500  4 Re 2.89, 4 Sr 2.89
F: 0.7500 0.2500 0.2500  4 Re 2.89, 4 Sr 2.89
F: 0.7500 0.2500 0.7500  4 Re 2.89, 4 Sr 2.89
F: 0.7500 0.7500 0.2500  4 Re 2.89, 4 Sr 2.89
F: 0.7500 0.7500 0.7500  4 Re 2.89, 4 Sr 2.89

Polymorph energy (0 for the lowest one), meV/atom: 511
Mass density, g/cm³: 6.95
M_tot, Bohr magnetons per cell: 20.0
Space group: No. 225
DOS at the Fermi energy, states/eV per cell: 13.41
Uncorrected formation energy, eV/f.u.: -2.37

[7]
This record from Alexandria describes a relaxed Sr2ReF crystal. The functional is PBE.

a = 7.4121 Å, b = 7.4121 Å, c = 7.4121 Å
α = 90.00°, β = 90.00°, γ = 90.00°
Last column: nearest neighbours and their distance in Å.
Sites, in units of the cell vectors:
Sr: 0.2500 0.2500 0.2500  4 F 3.21, 4 Re 3.21
Sr: 0.2500 0.2500 0.7500  4 F 3.21, 4 Re 3.21
Sr: 0.2500 0.7500 0.2500  4 F 3.21, 4 Re 3.21
Sr: 0.2500 0.7500 0.7500  4 F 3.21, 4 Re 3.21
Sr: 0.7500 0.2500 0.2500  4 F 3.21, 4 Re 3.21
Sr: 0.7500 0.2500 0.7500  4 F 3.21, 4 Re 3.21
Sr: 0.7500 0.7500 0.2500  4 F 3.21, 4 Re 3.21
Sr: 0.7500 0.7500 0.7500  4 F 3.21, 4 Re 3.21
Re: 0.0000 0.0000 0.0000  8 Sr 3.21
Re: 0.0000 0.5000 0.5000  8 Sr 3.21
Re: 0.5000 0.0000 0.5000  8 Sr 3.21
Re: 0.5000 0.5000 0.0000  8 Sr 3.21
F: 0.0000 0.0000 0.5000  8 Sr 3.21
F: 0.0000 0.5000 0.0000  8 Sr 3.21
F: 0.5000 0.0000 0.0000  8 Sr 3.21
F: 0.5000 0.5000 0.5000  8 Sr 3.21

Polymorph energy (0 for the lowest one), meV/atom: 419
Mass density, g/cm³: 6.21
M_tot, Bohr magnetons per cell: 8.0
Space group: No. 225
DOS at the Fermi energy, states/eV per cell: 8.15
Uncorrected formation energy, eV/f.u.: 0.38

[8]
This record from Alexandria describes a relaxed SrReF2 crystal. The functional is PBE.

a = 3.9298 Å, b = 3.9298 Å, c = 16.2840 Å
α = 90.00°, β = 90.00°, γ = 120.00°
Last column: nearest neighbours and their distance in Å.
Sites, in units of the cell vectors:
Sr: 0.0000 0.0000 0.0000  2 F 2.37
Sr: 0.3333 0.6667 0.6667  2 F 2.37
Sr: 0.6667 0.3333 0.3333  2 F 2.37
Re: 0.0000 0.0000 0.5000  6 F 2.29
Re: 0.3333 0.6667 0.1667  6 F 2.29
Re: 0.6667 0.3333 0.8333  6 F 2.29
F: 0.0000 0.0000 0.1457  3 Re 2.29, 3 F 2.37, 1 Sr 2.37
F: 0.0000 0.0000 0.8543  3 Re 2.29, 3 F 2.37, 1 Sr 2.37
F: 0.3333 0.6667 0.5210  3 Re 2.29, 3 F 2.37, 1 Sr 2.37
F: 0.3333 0.6667 0.8123  3 Re 2.29, 3 F 2.37, 1 Sr 2.37
F: 0.6667 0.3333 0.1877  3 Re 2.29, 3 F 2.37, 1 Sr 2.37
F: 0.6667 0.3333 0.4790  3 Re 2.29, 3 F 2.37, 1 Sr 2.37

Polymorph energy (0 for the lowest one), meV/atom: 537
Mass density, g/cm³: 7.13
M_tot, Bohr magnetons per cell: 0.0
Space group: No. 166
DOS at the Fermi energy, states/eV per cell: 10.23
Uncorrected formation energy, eV/f.u.: -2.27

Question: What is the formula in the sixth record?
Answer: SrReF2

Question: What is the DOS at the Fermi energy in the second record?
Answer: 5.15 states/eV per cell

Please write out number 1 again, unchanged.
This record from Alexandria describes a relaxed Sr2Re2F crystal. The functional is PBE.

a = 8.9233 Å, b = 8.9233 Å, c = 3.3791 Å
α = 90.00°, β = 90.00°, γ = 90.00°
Last column: nearest neighbours and their distance in Å.
Sites, in units of the cell vectors:
Sr: 0.1965 0.3035 0.0000  6 Re 3.19-3.22, 2 F 3.23, 2 Sr 3.38
Sr: 0.3035 0.8035 0.0000  6 Re 3.19-3.22, 2 F 3.23, 2 Sr 3.38
Sr: 0.6965 0.1965 0.0000  6 Re 3.19-3.22, 2 F 3.23, 2 Sr 3.38
Sr: 0.8035 0.6965 0.0000  6 Re 3.19-3.22, 2 F 3.23, 2 Sr 3.38
Re: 0.0865 0.5865 0.5000  1 Re 2.18
Re: 0.4135 0.0865 0.5000  1 Re 2.18
Re: 0.5865 0.9135 0.5000  1 Re 2.18
Re: 0.9135 0.4135 0.5000  1 Re 2.18
F: 0.0000 0.0000 0.0000  4 Sr 3.23, 2 F 3.38
F: 0.5000 0.5000 0.0000  4 Sr 3.23, 2 F 3.38

Polymorph energy (0 for the lowest one), meV/atom: 926
Mass density, g/cm³: 6.99
M_tot, Bohr magnetons per cell: 0.2
Space group: No. 127
DOS at the Fermi energy, states/eV per cell: 13.51
Uncorrected formation energy, eV/f.u.: 2.13